No. 1
This record from the Alexandria database describes Cs3U2AgSe6 after structural relaxation. The functional is PBE.

Results
**Space group**: No. 12
**E**: -5.154 eV/atom
**Formation energy (no corrections)**: -1080 meV/atom

Geometry as POSCAR:
```
Cs3U2AgSe6
1.0
-7.347 -0.957 -0.593
3.877 -3.813 5.067
-0.106 7.669 4.079
Cs U Ag Se
3 2 1 6
direct
0.157 0.843 0.500
0.843 0.157 0.500
0.500 0.500 0.500
0.333 0.667 0.000
0.667 0.333 0.000
0.000 0.000 0.000
0.938 0.584 0.812
0.712 0.712 0.181
0.062 0.416 0.188
0.584 0.938 0.812
0.288 0.288 0.819
0.416 0.062 0.188
```

=====

No. 2
This record from the Alexandria database describes CsU2Ag2Se6 after structural relaxation. The functional is PBE.

Results
**Space group**: No. 2
**E**: -5.361 eV/atom
**Formation energy (no corrections)**: -812 meV/atom

Geometry as POSCAR:
```
CsU2Ag2Se6
1.0
-0.454 3.633 6.685
-4.065 -3.457 6.483
8.437 1.173 -0.412
Cs U Ag Se
1 2 2 6
direct
0.500 0.000 0.500
0.838 0.330 0.836
0.162 0.670 0.164
0.184 0.742 0.801
0.816 0.258 0.199
0.406 0.770 0.044
0.013 0.414 0.147
0.188 0.825 0.555
0.987 0.586 0.853
0.812 0.175 0.445
0.594 0.230 0.956
```

=====

No. 3
This record from the Alexandria database describes CsVAgSe4 after structural relaxation. The functional is PBE.

Results
**Space group**: No. 11
**E**: -4.455 eV/atom
**Formation energy (no corrections)**: -632 meV/atom

Geometry as POSCAR:
```
CsVAgSe4
1.0
5.896 0.000 -1.104
0.000 8.754 0.000
-4.012 0.000 9.884
Cs V Ag Se
2 2 2 8
direct
0.548 0.750 0.836
0.452 0.250 0.164
0.275 0.750 0.300
0.725 0.250 0.700
0.789 0.750 0.318
0.211 0.250 0.682
0.933 0.471 0.699
0.067 0.971 0.301
0.067 0.529 0.301
0.933 0.029 0.699
0.293 0.750 0.091
0.707 0.250 0.909
0.682 0.750 0.528
0.318 0.250 0.472
```

=====

No. 4
This record from the Alexandria database describes CsAgWSe4 after structural relaxation. The functional is PBE.

Results
**Space group**: No. 11
**E**: -4.926 eV/atom
**Formation energy (no corrections)**: -555 meV/atom

Geometry as POSCAR:
```
CsAgWSe4
1.0
6.042 0.000 -0.224
0.000 7.820 0.000
-2.645 0.000 10.383
Cs Ag W Se
2 2 2 8
direct
0.653 0.750 0.862
0.347 0.250 0.138
0.646 0.750 0.287
0.354 0.250 0.713
0.144 0.750 0.286
0.856 0.250 0.714
0.063 0.504 0.710
0.937 0.004 0.290
0.937 0.496 0.290
0.063 0.996 0.710
0.260 0.750 0.089
0.740 0.250 0.911
0.450 0.750 0.477
0.550 0.250 0.523
```

=====

No. 5
This record from the Alexandria database describes CsY2AgSe4 after structural relaxation. The functional is PBE.

Results
**Space group**: No. 63
**E**: -5.281 eV/atom
**Formation energy (no corrections)**: -1460 meV/atom

Geometry as POSCAR:
```
CsY2AgSe4
1.0
4.266 0.000 0.000
-2.133 7.338 0.000
0.000 0.000 14.924
Cs Y Ag Se
2 4 2 8
direct
0.117 0.234 0.750
0.883 0.766 0.250
0.369 0.738 0.565
0.631 0.262 0.065
0.631 0.262 0.435
0.369 0.738 0.935
0.834 0.668 0.750
0.166 0.332 0.250
0.257 0.515 0.098
0.743 0.485 0.598
0.743 0.485 0.902
0.257 0.515 0.402
0.000 0.000 0.500
0.000 0.000 0.000
0.436 0.872 0.750
0.564 0.128 0.250
```

=====

No. 6
This record from the Alexandria database describes CsZn2AgSe after structural relaxation. The functional is PBE.

Results
**Space group**: No. 123
**E**: -1.778 eV/atom
**Formation energy (no corrections)**: 169 meV/atom

Geometry as POSCAR:
```
CsZn2AgSe
1.0
-1.092 4.895 1.365
-5.440 0.066 -4.590
-3.169 -1.747 3.730
Cs Zn Se Ag
1 2 1 1
direct
0.000 0.500 0.000
0.000 0.000 0.500
0.500 0.000 0.000
0.000 0.000 0.000
0.500 0.500 0.500
```

=====

No. 7
This record from the Alexandria database describes Cs2ZrAgSe4 after structural relaxation. The functional is PBE.

Results
**Space group**: No. 70
**E**: -4.383 eV/atom
**Formation energy (no corrections)**: -1002 meV/atom

Geometry as POSCAR:
```
Cs2ZrAgSe4
1.0
6.313 0.000 0.000
3.156 7.444 0.000
3.156 0.000 13.253
Cs Zr Ag Se
4 2 2 8
direct
0.178 0.000 0.643
0.822 0.000 0.357
0.572 0.500 0.857
0.928 0.500 0.143
0.750 0.500 0.500
0.000 0.000 0.000
0.250 0.500 0.500
0.500 0.000 0.000
0.281 0.802 0.109
0.191 0.198 0.891
0.918 0.802 0.891
0.610 0.198 0.109
0.469 0.698 0.391
0.559 0.302 0.609
0.832 0.698 0.609
0.140 0.302 0.391
```

=====

No. 8
This record from the Alexandria database describes Cs2ZrAg2Se4 after structural relaxation. The functional is PBE.

Results
**Space group**: No. 12
**E**: -4.251 eV/atom
**Formation energy (no corrections)**: -929 meV/atom

Geometry as POSCAR:
```
Cs2ZrAg2Se4
1.0
-2.010 -2.667 -2.528
7.440 -3.375 -2.354
-1.652 -2.564 7.489
Cs Zr Ag Se
2 1 2 4
direct
0.136 0.573 0.273
0.864 0.427 0.727
0.000 0.000 0.000
0.681 0.979 0.363
0.319 0.021 0.637
0.182 0.178 0.364
0.818 0.822 0.636
0.510 0.787 0.019
0.490 0.213 0.981
```

=====

No. 9
This record from the Alexandria database describes CsSiAg after structural relaxation. The functional is PBE.

Results
**Polymorph energy (0 for the lowest one)**: 1.9 meV/atom
**Space group**: No. 71
**E**: -2.998 eV/atom
**Formation energy (no corrections)**: 45 meV/atom

Geometry as POSCAR:
```
CsSiAg
1.0
-3.382 3.078 1.507
-5.876 -4.507 -3.985
3.878 -2.348 5.811
Cs Si Ag
2 2 2
direct
0.701 0.701 0.403
0.299 0.299 0.597
0.500 0.134 0.000
0.500 0.866 0.000
0.000 0.793 0.000
0.000 0.207 0.000
```

=====

No. 10
This record from the Alexandria database describes Cs2Si2Ag after structural relaxation. The functional is PBE.

Results
**Polymorph energy (0 for the lowest one)**: 186.2 meV/atom
**Space group**: No. 127
**E**: -2.580 eV/atom
**Formation energy (no corrections)**: 501 meV/atom

Geometry as POSCAR:
```
Cs2Si2Ag
1.0
-3.616 -0.740 -10.199
9.222 -4.911 -2.913
-1.518 -3.312 0.778
Cs Si Ag
4 4 2
direct
0.284 0.784 0.000
0.784 0.716 0.000
0.716 0.216 0.000
0.216 0.284 0.000
0.071 0.571 0.500
0.571 0.929 0.500
0.929 0.429 0.500
0.429 0.071 0.500
0.000 0.000 0.000
0.500 0.500 0.000
```

=====

No. 11
This record from the Alexandria database describes CsSiAg after structural relaxation. The functional is PBE.

Results
**Polymorph energy (0 for the lowest one)**: 0.0 meV/atom
**Space group**: No. 2
**E**: -3.000 eV/atom
**Formation energy (no corrections)**: 43 meV/atom

Geometry as POSCAR:
```
CsSiAg
1.0
4.404 -1.582 -0.040
-0.410 5.823 -0.391
0.420 1.099 7.946
Ag Cs Si
2 2 2
direct
0.843 0.414 0.501
0.474 0.679 0.335
0.784 0.302 0.086
0.533 0.791 0.750
0.072 0.875 0.335
0.245 0.218 0.500
```

=====

No. 12
This record from the Alexandria database describes Cs2Si2Ag after structural relaxation. The functional is PBE.

Results
**Polymorph energy (0 for the lowest one)**: 0.0 meV/atom
**Space group**: No. 139
**E**: -2.766 eV/atom
**Formation energy (no corrections)**: 315 meV/atom

Geometry as POSCAR:
```
Cs2Si2Ag
1.0
3.637 0.000 0.000
0.000 3.637 0.000
1.819 1.819 11.924
Cs Si Ag
2 2 1
direct
0.389 0.389 0.221
0.611 0.611 0.779
0.750 0.250 0.500
0.250 0.750 0.500
0.000 0.000 0.000
```

=====

No. 13
This record from the Alexandria database describes CsSiAg after structural relaxation. The functional is PBE.

Results
**Polymorph energy (0 for the lowest one)**: 116.8 meV/atom
**Space group**: No. 2
**E**: -2.883 eV/atom
**Formation energy (no corrections)**: 159 meV/atom

Geometry as POSCAR:
```
CsSiAg
1.0
-1.437 3.221 2.080
1.966 -3.506 6.761
5.540 2.252 4.326
Cs Si Ag
2 2 2
direct
0.108 0.399 0.057
0.312 0.229 0.651
0.965 0.727 0.344
0.455 0.901 0.364
0.607 0.800 0.062
0.813 0.829 0.647
```

=====

No. 14
This record from the Alexandria database describes Cs2Si2Ag after structural relaxation. The functional is PBE.

Results
**Polymorph energy (0 for the lowest one)**: 24.4 meV/atom
**Space group**: No. 127
**E**: -2.741 eV/atom
**Formation energy (no corrections)**: 339 meV/atom

Geometry as POSCAR:
```
Cs2Si2Ag
1.0
-0.473 -0.583 -6.892
-2.029 -6.592 0.696
-5.918 1.848 0.250
Cs Si Ag
4 4 2
direct
0.182 0.682 0.500
0.682 0.818 0.500
0.818 0.318 0.500
0.318 0.182 0.500
0.378 0.878 0.000
0.878 0.622 0.000
0.622 0.122 0.000
0.122 0.378 0.000
0.000 0.000 0.000
0.500 0.500 0.000
```

=====

No. 15
This record from the Alexandria database describes CsSi2AgSn after structural relaxation. The functional is PBE.

Results
**Space group**: No. 123
**E**: -2.850 eV/atom
**Formation energy (no corrections)**: 860 meV/atom

Geometry as POSCAR:
```
CsSi2AgSn
1.0
5.050 0.000 0.000
0.000 5.944 0.000
0.000 0.000 5.050
Cs Si Sn Ag
1 2 1 1
direct
0.000 0.500 0.000
0.000 0.000 0.500
0.500 0.000 0.000
0.500 0.500 0.500
0.000 0.000 0.000
```

=====

No. 16
This record from the Alexandria database describes CsSiAgTe3 after structural relaxation. The functional is PBE.

Results
**Space group**: No. 12
**E**: -3.394 eV/atom
**Formation energy (no corrections)**: -302 meV/atom

Geometry as POSCAR:
```
CsSiAgTe3
1.0
-4.815 -1.407 5.954
-1.882 -7.504 0.870
5.626 -2.619 6.388
Cs Si Ag Te
2 2 2 6
direct
0.686 0.686 0.777
0.314 0.314 0.223
0.013 0.013 0.864
0.987 0.987 0.136
0.237 0.763 0.500
0.763 0.237 0.500
0.206 0.206 0.735
0.180 0.671 0.805
0.671 0.180 0.805
0.329 0.820 0.195
0.820 0.329 0.195
0.794 0.794 0.265
```

=====

No. 17
This record from the Alexandria database describes CsSiAg2Te4 after structural relaxation. The functional is PBE.

Results
**Space group**: No. 23
**E**: -3.320 eV/atom
**Formation energy (no corrections)**: -252 meV/atom

Geometry as POSCAR:
```
CsSiAg2Te4
1.0
-1.005 -7.028 -2.650
0.883 -5.796 4.201
-6.585 -2.736 -1.081
Cs Si Ag Te
1 1 2 4
direct
0.000 0.000 0.000
0.000 0.500 0.500
0.500 0.748 0.252
0.500 0.252 0.748
0.616 0.539 0.845
0.384 0.155 0.461
0.000 0.461 0.155
0.000 0.845 0.539
```

=====

No. 18
This record from the Alexandria database describes CsZrSiAg2 after structural relaxation. The functional is PBE.

Results
**Space group**: No. 123
**E**: -2.572 eV/atom
**Formation energy (no corrections)**: 1533 meV/atom

Geometry as POSCAR:
```
CsZrSiAg2
1.0
-4.569 2.541 -1.100
0.811 -1.104 -5.917
-2.676 -4.599 0.492
Cs Si Zr Ag
1 1 1 2
direct
0.000 0.500 0.000
0.500 0.500 0.500
0.000 0.000 0.000
0.000 0.000 0.500
0.500 0.000 0.000
```

=====

No. 19
This record from the Alexandria database describes CsSmAg2 after structural relaxation. The functional is PBE.

Results
**Space group**: No. 123
**E**: -2.875 eV/atom

Geometry as POSCAR:
```
CsSmAg2
1.0
3.923 0.000 0.000
0.000 3.923 0.000
0.000 0.000 8.730
Cs Sm Ag
1 1 2
direct
0.500 0.500 0.500
0.500 0.500 0.000
0.000 0.000 0.830
0.000 0.000 0.170
```

=====

No. 20
This record from the Alexandria database describes CsSm3Ag2Te6 after structural relaxation. The functional is PBE.

Results
**Space group**: No. 12
**E**: -4.355 eV/atom
**Formation energy (no corrections)**: -1058 meV/atom

Geometry as POSCAR:
```
CsSm3Ag2Te6
1.0
4.557 0.000 0.000
0.000 9.626 -0.249
-2.279 -3.417 10.275
Cs Sm Ag Te
1 3 2 6
direct
0.500 0.000 0.000
0.500 0.500 0.000
0.829 0.162 0.657
0.171 0.838 0.343
0.744 0.395 0.489
0.256 0.605 0.511
0.323 0.930 0.645
0.663 0.584 0.326
0.677 0.070 0.355
0.980 0.274 0.961
0.020 0.726 0.039
0.337 0.416 0.674
```